Entry 1:
An optimized crystal structure of CaCeSmIn. Source: Alexandria via LeMat-Bulk, functional PBE.

Properties
Total magnetization in Bohr magnetons per cell: 13.82
Formation enthalpy at 0 K in meV per atom: 8
Total DFT energy (no corrections) in Ry per atom: -0.282

Structure (CIF):
```
data_CaCeSmIn
_chemical_formula_sum 'Ca4 Ce4 Sm4 In4'
_space_group_name_H-M_alt 'F -4 3 m'
_space_group_IT_number 216
_space_group_name_Hall 'F -4 2 3'
_cell_length_a 7.870
_cell_length_b 7.870
_cell_length_c 7.870
_cell_angle_alpha 90.00
_cell_angle_beta 90.00
_cell_angle_gamma 90.00
loop_
_atom_site_label
_atom_site_type_symbol
_atom_site_fract_x
_atom_site_fract_y
_atom_site_fract_z
_atom_site_occupancy
Ca1 Ca 0.000 0.000 0.000 1
Ce1 Ce 0.250 0.250 0.750 1
Sm1 Sm 0.000 0.000 0.500 1
In1 In 0.250 0.250 0.250 1
```

***

Entry 2:
An optimized crystal structure of CaTb2CeIn4. Source: Alexandria via LeMat-Bulk, functional PBE.

Properties
Total magnetization in Bohr magnetons per cell: 2.72
Formation enthalpy at 0 K in meV per atom: -428
Total DFT energy (no corrections) in Ry per atom: -0.290

Structure (CIF):
```
data_CaTb2CeIn4
_chemical_formula_sum 'Ca3 Tb6 Ce3 In12'
_space_group_name_H-M_alt 'R -3 m'
_space_group_IT_number 166
_space_group_name_Hall '-R 3 2"'
_cell_length_a 5.3798
_cell_length_b 5.3798
_cell_length_c 26.6890
_cell_angle_alpha 90.00
_cell_angle_beta 90.00
_cell_angle_gamma 120.00
loop_
_atom_site_label
_atom_site_type_symbol
_atom_site_fract_x
_atom_site_fract_y
_atom_site_fract_z
_atom_site_occupancy
Ca1 Ca 0.0000 0.0000 0.0000 1
Tb1 Tb 0.0000 0.0000 0.2522 1
Ce1 Ce 0.0000 0.0000 0.5000 1
In1 In 0.0000 0.0000 0.1250 1
In2 In 0.0000 0.0000 0.3751 1
```

***

Entry 3:
An optimized crystal structure of CaCeTlIn. Source: Alexandria via LeMat-Bulk, functional PBE.

Properties
Total magnetization in Bohr magnetons per cell: 3.92
Formation enthalpy at 0 K in meV per atom: -362
Total DFT energy (no corrections) in Ry per atom: -0.266

Structure (CIF):
```
data_CaCeTlIn
_chemical_formula_sum 'Ca4 Ce4 Tl4 In4'
_space_group_name_H-M_alt 'F -4 3 m'
_space_group_IT_number 216
_space_group_name_Hall 'F -4 2 3'
_cell_length_a 7.761
_cell_length_b 7.761
_cell_length_c 7.761
_cell_angle_alpha 90.00
_cell_angle_beta 90.00
_cell_angle_gamma 90.00
loop_
_atom_site_label
_atom_site_type_symbol
_atom_site_fract_x
_atom_site_fract_y
_atom_site_fract_z
_atom_site_occupancy
Ca1 Ca 0.000 0.000 0.000 1
Ce1 Ce 0.000 0.000 0.500 1
Tl1 Tl 0.250 0.250 0.750 1
In1 In 0.250 0.250 0.250 1
```

***

Entry 4:
An optimized crystal structure of CaCeTm2In4. Source: Alexandria via LeMat-Bulk, functional PBE.

Properties
Total magnetization in Bohr magnetons per cell: 2.69
Formation enthalpy at 0 K in meV per atom: -408
Total DFT energy (no corrections) in Ry per atom: -0.286

Structure (CIF):
```
data_CaCeTm2In4
_chemical_formula_sum 'Ca3 Ce3 Tm6 In12'
_space_group_name_H-M_alt 'R -3 m'
_space_group_IT_number 166
_space_group_name_Hall '-R 3 2"'
_cell_length_a 5.3383
_cell_length_b 5.3383
_cell_length_c 26.4789
_cell_angle_alpha 90.00
_cell_angle_beta 90.00
_cell_angle_gamma 120.00
loop_
_atom_site_label
_atom_site_type_symbol
_atom_site_fract_x
_atom_site_fract_y
_atom_site_fract_z
_atom_site_occupancy
Ca1 Ca 0.0000 0.0000 0.0000 1
Ce1 Ce 0.0000 0.0000 0.5000 1
Tm1 Tm 0.0000 0.0000 0.2513 1
In1 In 0.0000 0.0000 0.1244 1
In2 In 0.0000 0.0000 0.3745 1
```

***

Entry 5:
An optimized crystal structure of CaCeYIn. Source: Alexandria via LeMat-Bulk, functional PBE.

Properties
Total magnetization in Bohr magnetons per cell: 5.70
Formation enthalpy at 0 K in meV per atom: -71
Total DFT energy (no corrections) in Ry per atom: -0.320

Structure (CIF):
```
data_CaCeYIn
_chemical_formula_sum 'Ca4 Ce4 Y4 In4'
_space_group_name_H-M_alt 'F -4 3 m'
_space_group_IT_number 216
_space_group_name_Hall 'F -4 2 3'
_cell_length_a 7.856
_cell_length_b 7.856
_cell_length_c 7.856
_cell_angle_alpha 90.00
_cell_angle_beta 90.00
_cell_angle_gamma 90.00
loop_
_atom_site_label
_atom_site_type_symbol
_atom_site_fract_x
_atom_site_fract_y
_atom_site_fract_z
_atom_site_occupancy
Ca1 Ca 0.000 0.000 0.000 1
Ce1 Ce 0.250 0.250 0.250 1
Y1 Y 0.250 0.250 0.750 1
In1 In 0.000 0.000 0.500 1
```

***

Entry 6:
An optimized crystal structure of CaCeZnIn. Source: Alexandria via LeMat-Bulk, functional PBE.

Properties
Total magnetization in Bohr magnetons per cell: 3.70
Formation enthalpy at 0 K in meV per atom: -304
Total DFT energy (no corrections) in Ry per atom: -0.242

Structure (CIF):
```
data_CaCeZnIn
_chemical_formula_sum 'Ca4 Ce4 Zn4 In4'
_space_group_name_H-M_alt 'F -4 3 m'
_space_group_IT_number 216
_space_group_name_Hall 'F -4 2 3'
_cell_length_a 7.549
_cell_length_b 7.549
_cell_length_c 7.549
_cell_angle_alpha 90.00
_cell_angle_beta 90.00
_cell_angle_gamma 90.00
loop_
_atom_site_label
_atom_site_type_symbol
_atom_site_fract_x
_atom_site_fract_y
_atom_site_fract_z
_atom_site_occupancy
Ca1 Ca 0.000 0.000 0.000 1
Ce1 Ce 0.000 0.000 0.500 1
Zn1 Zn 0.250 0.250 0.250 1
In1 In 0.250 0.250 0.750 1
```

***

Entry 7:
An optimized crystal structure of CaCe2Zn2In2. Source: Alexandria via LeMat-Bulk, functional PBE.

Properties
Total magnetization in Bohr magnetons per cell: 5.75
Formation enthalpy at 0 K in meV per atom: -250
Total DFT energy (no corrections) in Ry per atom: -0.248

Structure (CIF):
```
data_CaCe2Zn2In2
_chemical_formula_sum 'Ca3 Ce6 Zn6 In6'
_space_group_name_H-M_alt 'R -3 m'
_space_group_IT_number 166
_space_group_name_Hall '-R 3 2"'
_cell_length_a 4.6001
_cell_length_b 4.6001
_cell_length_c 28.4577
_cell_angle_alpha 90.00
_cell_angle_beta 90.00
_cell_angle_gamma 120.00
loop_
_atom_site_label
_atom_site_type_symbol
_atom_site_fract_x
_atom_site_fract_y
_atom_site_fract_z
_atom_site_occupancy
Ca1 Ca 0.0000 0.0000 0.0000 1
Ce1 Ce 0.0000 0.0000 0.1430 1
Zn1 Zn 0.0000 0.0000 0.4190 1
In1 In 0.0000 0.0000 0.2631 1
```

***

Entry 8:
An optimized crystal structure of CaCe2Ir2. Source: Alexandria via LeMat-Bulk, functional PBE.

Properties
Energy relative to the lowest polymorph listed for this composition in meV per atom: 10
Total magnetization in Bohr magnetons per cell: 0.76
Formation enthalpy at 0 K in meV per atom: -570
Total DFT energy (no corrections) in Ry per atom: -0.506

Structure (CIF):
```
data_CaCe2Ir2
_chemical_formula_sum 'Ca1 Ce2 Ir2'
_space_group_name_H-M_alt 'P -3 m 1'
_space_group_IT_number 164
_space_group_name_Hall '-P 3 2"'
_cell_length_a 5.1207
_cell_length_b 5.1207
_cell_length_c 5.4880
_cell_angle_alpha 90.00
_cell_angle_beta 90.00
_cell_angle_gamma 120.00
loop_
_atom_site_label
_atom_site_type_symbol
_atom_site_fract_x
_atom_site_fract_y
_atom_site_fract_z
_atom_site_occupancy
Ca1 Ca 0.0000 0.0000 0.0000 1
Ce1 Ce 0.3333 0.6667 0.3269 1
Ir1 Ir 0.3333 0.6667 0.8045 1
```

***

Entry 9:
An optimized crystal structure of CaCe3Ir8. Source: Alexandria via LeMat-Bulk, functional PBE.

Properties
Total magnetization in Bohr magnetons per cell: 1.47
Formation enthalpy at 0 K in meV per atom: -712
Total DFT energy (no corrections) in Ry per atom: -0.608

Structure (CIF):
```
data_CaCe3Ir8
_chemical_formula_sum 'Ca3 Ce9 Ir24'
_space_group_name_H-M_alt 'R 3 m'
_space_group_IT_number 160
_space_group_name_Hall 'R 3 -2"'
_cell_length_a 5.3909
_cell_length_b 5.3909
_cell_length_c 26.3740
_cell_angle_alpha 90.00
_cell_angle_beta 90.00
_cell_angle_gamma 120.00
loop_
_atom_site_label
_atom_site_type_symbol
_atom_site_fract_x
_atom_site_fract_y
_atom_site_fract_z
_atom_site_occupancy
Ca1 Ca 0.0000 0.0000 0.0000 1
Ce1 Ce 0.0000 0.0000 0.3727 1
Ce2 Ce 0.0000 0.0000 0.4979 1
Ce3 Ce 0.0000 0.0000 0.8760 1
Ir1 Ir 0.0000 0.0000 0.1869 1
Ir2 Ir 0.0000 0.0000 0.6866 1
Ir3 Ir 0.0013 0.5006 0.4373 1
Ir4 Ir 0.1679 0.3358 0.2697 1
```

***

Entry 10:
An optimized crystal structure of CaCe5Ir6. Source: Alexandria via LeMat-Bulk, functional PBE.

Properties
Total magnetization in Bohr magnetons per cell: 0.00
Formation enthalpy at 0 K in meV per atom: -581
Total DFT energy (no corrections) in Ry per atom: -0.562

Structure (CIF):
```
data_CaCe5Ir6
_chemical_formula_sum 'Ca2 Ce10 Ir12'
_space_group_name_H-M_alt 'C 1 2/m 1'
_space_group_IT_number 12
_cell_length_a 6.999
_cell_length_b 12.154
_cell_length_c 6.966
_cell_angle_alpha 90.00
_cell_angle_beta 109.59
_cell_angle_gamma 90.00
loop_
_space_group_symop_operation_xyz
'x,y,z'
'-x,-y,-z'
'-x,y,-z'
'x,-y,z'
'x+1/2,y+1/2,z'
'-x+1/2,-y+1/2,-z'
'-x+1/2,y+1/2,-z'
'x+1/2,-y+1/2,z'
loop_
_atom_site_label
_atom_site_type_symbol
_atom_site_fract_x
_atom_site_fract_y
_atom_site_fract_z
_atom_site_occupancy
Ca1 Ca 0.000 0.000 0.000 1
Ce1 Ce 0.000 0.168 0.500 1
Ce2 Ce 0.000 0.334 0.000 1
Ce3 Ce 0.000 0.500 0.500 1
Ir1 Ir 0.242 0.500 0.260 1
Ir2 Ir 0.243 0.327 0.748 1
```